Entry 1:
Below is DyZn3Ni8 after structural relaxation, with properties calculated at the PBE level.

## Properties
Fermi-level density of states   16.70 states/eV/f.u.
E   -4.739 eV/atom
Formation enthalpy at 0 K   -0.183 eV/atom
ρ   8.764 g/cm3

```
12
Lattice="4.8085 0.0000 0.0000 -2.4043 4.1643 0.0000 0.0000 0.0000 7.8370" Properties=species:S:1:pos:R:3 pbc="T T T"
Zn 0.0000 0.0000 7.5022
Zn 2.4043 1.3881 3.1835
Zn 2.4043 1.3881 0.4336
Ni -1.2137 3.4770 1.9192
Ni 1.2209 2.0713 5.9511
Ni 2.4043 0.0216 5.9511
Ni 3.5877 2.0713 5.9511
Ni 1.2137 3.4770 1.9192
Ni 0.0000 1.3747 1.9192
Ni 0.0000 2.7762 3.9118
Ni 0.0000 2.7762 7.8368
Dy 0.0000 0.0000 4.4622
```



Entry 2:
Below is Rb3SrPt after structural relaxation, with properties calculated at the PBE level.

## Properties
Fermi-level density of states   4.29 states/eV/f.u.
E   -1.896 eV/atom
Formation enthalpy at 0 K   0.230 eV/atom
ρ   3.055 g/cm3

```
5
Lattice="-0.6887 6.6015 -0.2419 -6.0515 -0.5329 2.6848 2.6491 0.4988 6.0701" Properties=species:S:1:pos:R:3 pbc="T T T"
Rb 1.3245 0.2494 3.0351
Rb -3.0258 -0.2665 1.3424
Rb -0.3443 3.3008 -0.1209
Pt 0.0000 0.0000 0.0000
Sr -2.0455 3.2837 4.2565
```



Entry 3:
Below is YMoN3 after structural relaxation, with properties calculated at the PBE level.

## Properties
Fermi-level density of states   0.00 states/eV/f.u.
E   -9.150 eV/atom
E_form (uncorrected)   -696 meV/atom
ρ   5.856 g/cm3

```
10
Lattice="-6.2017 -1.4035 -1.6730 -1.6638 -5.7776 -0.8025 -1.9212 0.1064 3.3580" Properties=species:S:1:pos:R:3 pbc="T T T"
N -1.7125 -1.2756 -0.4077
N -5.1167 -3.7204 2.1383
N -3.0174 -4.8783 1.1733
N -6.1771 -5.0996 -1.4443
N -6.0972 -5.5009 -0.1512
N -5.5980 -2.3796 -0.3704
Mo -4.7490 -4.1068 0.1202
Mo -2.4162 -5.6421 -0.6659
Y -5.6586 -1.4442 1.7577
Y -1.9254 -2.7673 1.5099
```



Entry 4:
Below is YRe3Rh after structural relaxation, with properties calculated at the PBE level.

## Properties
Fermi-level density of states   7.68 states/eV/f.u.
E   -7.008 eV/atom
Formation enthalpy at 0 K   3.224 eV/atom
ρ   11.927 g/cm3
Excess energy over the best structure of this formula in the dataset   1662.1 meV per atom

```
5
Lattice="-0.8967 -2.9857 -3.5304 -1.5906 -3.1775 3.0912 -4.3415 1.7808 -0.4033" Properties=species:S:1:pos:R:3 pbc="T T T"
Y 0.0000 0.0000 0.0000
Re -0.7953 -1.5888 1.5456
Re -0.4484 -1.4929 -1.7652
Re -2.1707 0.8904 -0.2017
Rh -3.4144 -2.1912 -0.4213
```



Entry 5:
Below is CaTmAlCd after structural relaxation, with properties calculated at the PBE level.

## Properties
Fermi-level density of states   2.14 states/eV/f.u.
E   -3.100 eV/atom
Formation enthalpy at 0 K   -0.317 eV/atom
ρ   5.737 g/cm3
Excess energy over the best structure of this formula in the dataset   0.0 meV per atom

```
4
Lattice="3.6084 0.0000 0.0000 0.0000 3.6084 0.0000 0.0000 0.0000 7.7451" Properties=species:S:1:pos:R:3 pbc="T T T"
Al 0.0000 0.0000 2.6570
Ca 1.8042 1.8042 4.6348
Cd 0.0000 0.0000 6.7258
Tm 1.8042 1.8042 0.9146
```



Entry 6:
Below is Tb3Pm4Sm5 after structural relaxation, with properties calculated at the PBE level.

## Properties
Fermi-level density of states   20.29 states/eV/f.u.
E   -4.493 eV/atom
Formation enthalpy at 0 K   0.214 eV/atom
ρ   7.302 g/cm3
Excess energy over the best structure of this formula in the dataset   201.4 meV per atom

```
12
Lattice="5.9846 0.0000 0.0000 2.9923 7.6451 -2.8273 2.9923 -0.8081 9.2876" Properties=species:S:1:pos:R:3 pbc="T T T"
Pm 8.9769 6.9423 0.8406
Pm 5.9846 1.6562 -0.0894
Pm 5.9846 5.1808 6.5498
Pm 2.9923 -0.1053 5.6197
Sm 8.9769 6.5957 4.7453
Sm 8.9769 3.4351 6.7160
Sm 2.9923 0.2413 1.7151
Sm 2.9923 3.4019 -0.2557
Sm 5.9846 3.4185 3.2302
Tb 2.9923 3.4185 3.2302
Tb 5.9846 5.0442 0.5736
Tb 5.9846 1.7929 5.8867
```



Entry 7:
Below is VPHRuS after structural relaxation, with properties calculated at the PBE level.

## Properties
Fermi-level density of states   3.01 states/eV/f.u.
E   -6.573 eV/atom
ρ   5.975 g/cm3
Excess energy over the best structure of this formula in the dataset   169.9 meV per atom

```
5
Lattice="3.1166 0.0023 -0.0034 1.3943 4.0240 -0.0189 0.8220 0.5562 4.7862" Properties=species:S:1:pos:R:3 pbc="T T T"
S 2.7016 3.5080 1.1101
Ru 3.5683 4.0769 3.5271
P 3.7273 1.6917 3.0311
H 1.2535 1.8696 0.3098
V 2.8275 1.1770 0.6876
```



Entry 8:
Below is SmAgBi after structural relaxation, with properties calculated at the PBE level.

## Properties
Fermi-level density of states   1.73 states/eV/f.u.
E   -4.250 eV/atom
Formation enthalpy at 0 K   -0.433 eV/atom
ρ   9.434 g/cm3

```
3
Lattice="4.2652 0.0000 0.0000 0.0000 4.7183 0.0000 0.0000 -2.3592 4.0862" Properties=species:S:1:pos:R:3 pbc="T T T"
Sm 2.7365 2.3592 1.3621
Ag 1.1698 0.0000 2.7241
Bi 0.3589 0.0000 0.0000
```



Entry 9:
Below is FeSb4Pb after structural relaxation, with properties calculated at the PBE level.

## Properties
Fermi-level density of states   5.66 states/eV/f.u.
E   -4.127 eV/atom
E_form (uncorrected)   650 meV/atom
ρ   7.305 g/cm3

```
6
Lattice="0.0000 4.4012 4.4012 4.4012 0.0000 4.4012 4.4012 4.4012 0.0000" Properties=species:S:1:pos:R:3 pbc="T T T"
Sb 3.3029 5.4994 5.4994
Sb 5.4994 3.3029 5.4994
Sb 3.3029 3.3029 3.3029
Sb 5.4994 5.4994 3.3029
Fe 6.6017 6.6017 6.6017
Pb 0.0000 0.0000 0.0000
```



Entry 10:
Below is PrSiC after structural relaxation, with properties calculated at the PBE level.

## Properties
Fermi-level density of states   1.71 states/eV/f.u.
E   -6.376 eV/atom
E_form (uncorrected)   100 meV/atom
ρ   4.897 g/cm3

```
6
Lattice="-0.0203 3.8007 -0.7523 -1.1039 0.7155 3.6443 8.4011 -1.7653 0.8319" Properties=species:S:1:pos:R:3 pbc="T T T"
C 4.4737 2.5746 2.9093
C 2.8031 0.1762 0.8145
Pr 2.0976 2.4253 2.2188
Pr 5.1792 0.3256 1.5050
Si 6.1980 2.6830 3.4103
Si 1.0788 0.0678 0.3135
```



Entry 11:
Below is MnAg3Br4 after structural relaxation, with properties calculated at the PBE level.

## Properties
Fermi-level density of states   3.61 states/eV/f.u.
E   -3.283 eV/atom
E_form (uncorrected)   -231 meV/atom
ρ   4.673 g/cm3

```
8
Lattice="-1.6711 5.7646 1.8031 -0.0833 -1.8927 5.9737 6.9652 -0.3544 -3.3024" Properties=species:S:1:pos:R:3 pbc="T T T"
Br 4.2318 3.2475 -0.6622
Br 5.0771 -0.8292 1.5582
Br 1.0234 1.2777 1.9562
Br 0.0894 3.3391 6.0966
Mn 0.0000 0.0000 0.0000
Ag 3.0024 -0.1555 3.2798
Ag -0.8772 1.9360 3.8884
Ag 2.2085 3.6731 1.1945
```



Entry 12:
Below is CrNi3Br after structural relaxation, with properties calculated at the PBE level.

## Properties
Fermi-level density of states   6.18 states/eV/f.u.
E   -4.492 eV/atom
E_form (uncorrected)   1236 meV/atom
ρ   5.985 g/cm3
Excess energy over the best structure of this formula in the dataset   263.3 meV per atom

```
5
Lattice="4.4047 0.0000 0.0000 0.0000 4.4047 0.0000 0.0000 0.0000 4.4047" Properties=species:S:1:pos:R:3 pbc="T T T"
Cr 0.0000 0.0000 0.0000
Br 2.2023 2.2023 2.2023
Ni 0.0000 0.0000 2.2023
Ni 0.0000 2.2023 0.0000
Ni 2.2023 0.0000 0.0000
```



Entry 13:
Below is K2RuBr after structural relaxation, with properties calculated at the PBE level.

## Properties
Fermi-level density of states   4.20 states/eV/f.u.
E   -2.953 eV/atom
E_form (uncorrected)   333 meV/atom
ρ   3.300 g/cm3
Excess energy over the best structure of this formula in the dataset   143.5 meV per atom

```
4
Lattice="-0.5026 6.0195 -2.6761 -1.4241 3.8255 -5.1948 -5.6170 0.3044 1.7898" Properties=species:S:1:pos:R:3 pbc="T T T"
Ru -4.4499 4.9973 -2.7251
K -2.6185 9.8300 -7.6049
K -4.9554 7.5784 -4.7885
Br -1.2186 2.6634 -1.8742
```



Entry 14:
Below is Ba6InBr5 after structural relaxation, with properties calculated at the PBE level.

## Properties
Fermi-level density of states   5.28 states/eV/f.u.
E   -3.300 eV/atom
E_form (uncorrected)   -1414 meV/atom
ρ   4.569 g/cm3

```
12
Lattice="-7.4598 0.1807 3.8548 -0.6256 -6.6190 5.1702 2.5741 0.6371 7.9869" Properties=species:S:1:pos:R:3 pbc="T T T"
Ba -4.1624 -2.1362 10.3964
Ba -1.9916 -1.5774 2.2168
Ba -1.3489 -3.6650 6.6155
Ba -4.8466 -0.1897 5.9457
Ba -0.6648 -5.6115 11.0662
Ba -6.0939 -4.8609 6.8082
In 0.0000 0.0000 0.0000
Br -4.0427 -3.2191 4.5125
Br -3.3899 -5.2085 8.9045
Br 0.6455 -1.9994 4.3782
Br -2.1215 -0.5927 8.1074
Br 1.3030 -3.9825 8.7789
```



Entry 15:
Below is CuC3Cl after structural relaxation, with properties calculated at the PBE level.

## Properties
Fermi-level density of states   4.13 states/eV/f.u.
E   -3.709 eV/atom
E_form (uncorrected)   3014 meV/atom
ρ   3.624 g/cm3
Excess energy over the best structure of this formula in the dataset   0.0 meV per atom

```
5
Lattice="-2.0878 1.3931 3.0569 -3.3430 -1.2162 -1.7290 0.3310 -3.4963 1.8194" Properties=species:S:1:pos:R:3 pbc="T T T"
C -1.0439 0.6965 1.5284
C -1.6715 -0.6081 -0.8645
C 0.1655 -1.7482 0.9097
Cl -2.5499 -1.6597 1.5736
Cu 0.0000 0.0000 0.0000
```



Entry 16:
Below is LiBeO2 after structural relaxation, with properties calculated at the PBE level.

## Properties
Fermi-level density of states   1.19 states/eV/f.u.
E   -5.264 eV/atom
E_form (uncorrected)   -1375 meV/atom
ρ   2.450 g/cm3

```
4
Lattice="3.2991 -4.4478 1.1995 2.4835 -4.9389 -1.2433 4.5102 -3.3261 -0.8373" Properties=species:S:1:pos:R:3 pbc="T T T"
O 1.0928 -1.3498 -0.0935
O 9.1999 -11.3630 -0.7875
Be 5.1464 -6.3564 -0.4405
Li 0.0000 0.0000 0.0000
```



Entry 17:
Below is SrY2Cd after structural relaxation, with properties calculated at the PBE level.

## Properties
Fermi-level density of states   5.58 states/eV/f.u.
E   -3.880 eV/atom
Formation enthalpy at 0 K   0.002 eV/atom
ρ   4.779 g/cm3

```
4
Lattice="-6.5473 -0.2002 -1.9264 -4.6217 -2.9517 -4.0676 -2.9863 -4.0163 2.4754" Properties=species:S:1:pos:R:3 pbc="T T T"
Sr -3.2890 -1.8185 -0.6209
Y -3.0218 -4.0124 2.4387
Y -10.9133 -5.3452 -2.9456
Cd -6.9953 -3.5923 -1.6746
```



Entry 18:
Below is LaRh2C2 after structural relaxation, with properties calculated at the PBE level.

## Properties
Fermi-level density of states   2.71 states/eV/f.u.
E   -7.557 eV/atom
Formation enthalpy at 0 K   0.059 eV/atom
ρ   8.297 g/cm3
Excess energy over the best structure of this formula in the dataset   0.0 meV per atom

```
5
Lattice="-0.5410 2.1208 2.9651 0.3964 -2.9456 2.1792 5.2702 0.5294 2.8733" Properties=species:S:1:pos:R:3 pbc="T T T"
C 3.5842 -0.1674 5.3545
C 1.5414 -0.1279 2.6631
Rh 2.3284 1.1189 4.2053
Rh 2.7972 -1.4143 3.8123
La 0.0000 0.0000 0.0000
```



Entry 19:
Below is Mg2TlCd after structural relaxation, with properties calculated at the PBE level.

## Properties
Fermi-level density of states   1.42 states/eV/f.u.
E   -1.653 eV/atom
Formation enthalpy at 0 K   -0.036 eV/atom
ρ   6.421 g/cm3

```
4
Lattice="-4.5896 3.4295 -0.2382 -1.9970 0.8057 -5.3146 1.4146 -4.6089 3.1047" Properties=species:S:1:pos:R:3 pbc="T T T"
Mg -1.9379 -0.8428 -2.4932
Mg 0.0000 0.0000 0.0000
Cd -3.2341 0.4691 0.0450
Tl -3.2933 2.1176 -2.7764
```



Entry 20:
Below is ZrAl2Te after structural relaxation, with properties calculated at the PBE level.

## Properties
Fermi-level density of states   2.04 states/eV/f.u.
E   -4.901 eV/atom
E_form (uncorrected)   -108 meV/atom
ρ   5.080 g/cm3

```
4
Lattice="3.2037 0.0134 0.0000 -0.5251 3.1604 0.0000 0.0000 0.0000 8.8006" Properties=species:S:1:pos:R:3 pbc="T T T"
Zr 1.3393 1.5869 6.8174
Al 0.0000 0.0000 8.7791
Al 1.3393 1.5869 1.7291
Te 0.0000 0.0000 4.6759
```



Entry 21:
Below is GdErSc2 after structural relaxation, with properties calculated at the PBE level.

## Properties
Fermi-level density of states   6.15 states/eV/f.u.
E   -7.745 eV/atom
Formation enthalpy at 0 K   0.082 eV/atom
ρ   6.197 g/cm3
Excess energy over the best structure of this formula in the dataset   29.2 meV per atom

```
4
Lattice="5.3954 0.0000 0.0000 2.6977 4.6725 0.0000 2.6977 1.5575 4.4053" Properties=species:S:1:pos:R:3 pbc="T T T"
Er 5.3954 3.1150 2.2026
Sc 8.0930 4.6725 3.3040
Sc 2.6977 1.5575 1.1013
Gd 0.0000 0.0000 0.0000
```



Entry 22:
Below is Li2CoCu after structural relaxation, with properties calculated at the PBE level.

## Properties
Fermi-level density of states   3.16 states/eV/f.u.
E   -3.623 eV/atom
Formation enthalpy at 0 K   0.134 eV/atom
ρ   4.530 g/cm3
Excess energy over the best structure of this formula in the dataset   49.7 meV per atom

```
4
Lattice="4.5084 0.0002 0.0055 3.8502 2.3456 0.0055 0.5185 0.1455 4.7278" Properties=species:S:1:pos:R:3 pbc="T T T"
Li 0.0555 0.0156 0.0116
Li 2.1782 0.6113 1.1839
Co 4.3999 1.2347 2.4827
Cu 6.6822 1.8753 3.4301
```



Entry 23:
Below is Y3NiSb after structural relaxation, with properties calculated at the PBE level.

## Properties
Fermi-level density of states   4.76 states/eV/f.u.
E   -6.280 eV/atom
E_form (uncorrected)   -420 meV/atom
ρ   5.323 g/cm3
Excess energy over the best structure of this formula in the dataset   0.0 meV per atom

```
5
Lattice="5.1861 0.0000 0.0000 0.0000 5.1861 0.0000 0.0000 0.0000 5.1861" Properties=species:S:1:pos:R:3 pbc="T T T"
Y 0.0000 0.0000 2.5931
Y 2.5931 0.0000 0.0000
Y 0.0000 2.5931 0.0000
Ni 0.0000 0.0000 0.0000
Sb 2.5931 2.5931 2.5931
```



Entry 24:
Below is ScHgSb after structural relaxation, with properties calculated at the PBE level.

## Properties
Fermi-level density of states   1.72 states/eV/f.u.
E   -3.997 eV/atom
E_form (uncorrected)   -411 meV/atom
ρ   8.401 g/cm3
Excess energy over the best structure of this formula in the dataset   19.2 meV per atom

```
12
Lattice="6.3113 0.0000 -0.0106 0.0000 4.3420 0.0000 -3.5352 0.0000 10.6034" Properties=species:S:1:pos:R:3 pbc="T T T"
Hg -1.2590 0.0000 10.5213
Hg 0.5086 2.1710 5.2196
Hg -2.6571 2.1710 8.8656
Hg -0.8894 0.0000 3.5639
Sc 1.8937 0.0000 10.0511
Sc 3.6614 2.1710 4.7494
Sc 1.3302 2.1710 1.6393
Sc -0.4374 0.0000 6.9410
Sb 0.3588 2.1710 8.7457
Sb 4.6078 2.1710 1.5741
Sb 2.8402 0.0000 6.8758
Sb 2.1264 0.0000 3.4440
```